No. 1
A plane-wave DFT calculation with PBEsol was carried out for an optimized crystal structure of Sn2BCl.

## Properties
Size of the total moment = 0.0 μB/f.u.
E = -3.78 eV per atom
Formation energy from raw total energies = 58.30 kJ/mol of atoms

Cell and atoms, written as POSCAR:
```
Sn2BCl
1.0
-0.961 3.223 3.363
-0.364 -1.344 4.548
3.360 1.250 3.126
B Sn Cl
1 2 1
Direct
0.000 0.000 0.000
0.250 0.250 0.250
0.750 0.750 0.750
0.500 0.500 0.500
```

No. 2
A plane-wave DFT calculation with PBEsol was carried out for an optimized crystal structure of SnBCl2.

## Properties
Size of the total moment = 0.0 μB/f.u.
E = -3.29 eV per atom
Formation energy from raw total energies = 51.73 kJ/mol of atoms

Cell and atoms, written as POSCAR:
```
SnBCl2
1.0
-1.491 1.979 5.898
2.459 -2.989 5.093
4.406 2.920 3.603
B Sn Cl
2 2 4
Direct
0.500 0.500 0.500
0.750 0.750 0.750
0.000 0.000 0.000
0.250 0.250 0.250
0.625 0.125 0.625
0.125 0.625 0.625
0.625 0.625 0.125
0.625 0.625 0.625
```

No. 3
A plane-wave DFT calculation with PBEsol was carried out for an optimized crystal structure of SnBCl2.

## Properties
Size of the total moment = 0.0 μB/f.u.
E = -3.21 eV per atom
Formation energy from raw total energies = 59.57 kJ/mol of atoms

Cell and atoms, written as POSCAR:
```
SnBCl2
1.0
4.813 0.000 0.000
2.406 4.168 0.000
2.406 1.389 3.930
B Sn Cl
1 1 2
Direct
0.000 0.000 0.000
0.500 0.500 0.500
0.250 0.250 0.250
0.750 0.750 0.750
```

No. 4
A plane-wave DFT calculation with PBEsol was carried out for an optimized crystal structure of SnBTeCl2.

## Properties
Size of the total moment = 0.0 μB/f.u.
E = -3.01 eV per atom
Formation energy from raw total energies = 72.75 kJ/mol of atoms

Cell and atoms, written as POSCAR:
```
SnBTeCl2
1.0
-4.025 0.496 -0.697
-0.870 -5.470 1.132
-0.790 1.254 5.456
B Te Sn Cl
1 1 1 2
Direct
0.500 0.000 0.000
0.000 0.000 0.000
0.500 0.500 0.500
0.000 0.000 0.500
0.000 0.500 0.000
```

No. 5
A plane-wave DFT calculation with PBEsol was carried out for an optimized crystal structure of SrBCl2.

## Properties
Size of the total moment = 0.7 μB/f.u.
E = -3.46 eV per atom
Formation energy from raw total energies = -23.63 kJ/mol of atoms

Cell and atoms, written as POSCAR:
```
SrBCl2
1.0
-0.301 0.124 -4.821
-2.101 -4.352 0.020
-6.554 5.860 2.981
Sr B Cl
2 2 4
Direct
0.250 0.750 0.500
0.000 0.000 0.000
0.750 0.250 0.500
0.500 0.500 0.000
0.403 0.875 0.250
0.847 0.375 0.250
0.125 0.153 0.750
0.625 0.597 0.750
```

No. 6
A plane-wave DFT calculation with PBEsol was carried out for an optimized crystal structure of SrBCl2.

## Properties
Size of the total moment = 0.0 μB/f.u.
E = -3.07 eV per atom
Formation energy from raw total energies = 14.57 kJ/mol of atoms

Cell and atoms, written as POSCAR:
```
SrBCl2
1.0
-0.767 -2.608 3.013
-2.102 -3.392 -0.738
5.914 -5.903 -0.872
Sr B Cl
1 1 2
Direct
0.000 0.000 0.000
0.500 0.500 0.500
0.887 0.887 0.339
0.113 0.113 0.661
```

No. 7
A plane-wave DFT calculation with PBEsol was carried out for an optimized crystal structure of TcB2Cl.

## Properties
Size of the total moment = 0.0 μB/f.u.
E = -5.06 eV per atom
Formation energy from raw total energies = 170.66 kJ/mol of atoms

Cell and atoms, written as POSCAR:
```
TcB2Cl
1.0
-0.935 0.863 -3.690
2.376 -1.052 -2.913
-1.065 -2.839 -2.459
B Tc Cl
2 1 1
Direct
0.250 0.250 0.250
0.750 0.750 0.750
0.500 0.500 0.500
0.000 0.000 0.000
```

No. 8
A plane-wave DFT calculation with PBEsol was carried out for an optimized crystal structure of BTe2Cl.

## Properties
Size of the total moment = 0.0 μB/f.u.
E = -3.04 eV per atom
Formation energy from raw total energies = 94.64 kJ/mol of atoms

Cell and atoms, written as POSCAR:
```
BTe2Cl
1.0
-0.430 -4.761 -0.128
1.889 -2.667 3.491
-2.858 -2.227 3.120
B Te Cl
1 2 1
Direct
0.000 0.000 0.000
0.250 0.250 0.250
0.750 0.750 0.750
0.500 0.500 0.500
```

Which value of size of the total moment does entry 2 give?
0.0 μB/f.u.